A geometry-optimized AlReBr2 structure, computed with GGA-PBEsol.

a = 3.193 Å, b = 3.193 Å, c = 9.376 Å
α = 90.00°, β = 90.00°, γ = 123.73°
Fractional positions:
Al1 0.000 0.000 0.000
Re1 0.000 0.000 0.500
Br1 0.500 0.500 0.283
Br2 0.500 0.500 0.717

As for the uncorrected formation energy: 0.66 eV per atom. The density of states at the Fermi level is 2.2 states/eV/cell. Its total energy is -4.63 eV per atom.

A geometry-optimized AlReBr2 structure, computed with GGA-PBEsol.

a = 6.613 Å, b = 6.613 Å, c = 6.613 Å
α = 98.24°, β = 98.24°, γ = 135.50°
Fractional positions:
Al1 0.000 0.000 0.000
Al2 0.750 0.250 0.500
Re1 0.250 0.750 0.500
Re2 0.500 0.500 0.000
Br1 0.252 0.625 0.127
Br2 0.375 0.502 0.627
Br3 0.498 0.125 0.873
Br4 0.875 0.748 0.373

As for the uncorrected formation energy: 0.50 eV per atom. The density of states at the Fermi level is 6.6 states/eV/cell. Its total energy is -4.79 eV per atom.

A geometry-optimized Al2ReBr structure, computed with GGA-PBEsol.

a = 3.022 Å, b = 3.022 Å, c = 7.569 Å
α = 90.00°, β = 90.00°, γ = 90.00°
Fractional positions:
Al1 0.000 0.000 0.000
Al2 0.500 0.500 0.235
Re1 0.500 0.500 0.801
Br1 0.000 0.000 0.575

As for the uncorrected formation energy: 0.44 eV per atom. The density of states at the Fermi level is 2.0 states/eV/cell. Its total energy is -5.41 eV per atom.

A geometry-optimized AlRe2Br structure, computed with GGA-PBEsol.

a = 8.621 Å, b = 8.621 Å, c = 8.621 Å
α = 19.67°, β = 19.67°, γ = 19.67°
Fractional positions:
Al1 0.000 0.000 0.000
Re1 0.491 0.491 0.491
Re2 0.746 0.746 0.746
Br1 0.254 0.254 0.254

As for the uncorrected formation energy: 0.29 eV per atom. The density of states at the Fermi level is 1.4 states/eV/cell. Its total energy is -7.87 eV per atom.

A geometry-optimized AlRu2Br structure, computed with GGA-PBEsol.

a = 2.930 Å, b = 2.934 Å, c = 7.496 Å
α = 90.00°, β = 90.00°, γ = 90.00°
Fractional positions:
Al1 0.000 0.000 0.000
Ru1 0.000 0.000 0.585
Ru2 0.500 0.500 0.794
Br1 0.000 0.500 0.306

As for the uncorrected formation energy: 0.09 eV per atom. The density of states at the Fermi level is 1.7 states/eV/cell. Its total energy is -6.49 eV per atom.

A geometry-optimized AlRu2Br structure, computed with GGA-PBEsol.

a = 2.892 Å, b = 2.892 Å, c = 7.516 Å
α = 90.00°, β = 90.00°, γ = 90.00°
Fractional positions:
Al1 0.000 0.000 0.000
Ru1 0.000 0.000 0.572
Ru2 0.500 0.500 0.788
Br1 0.500 0.500 0.323

As for the uncorrected formation energy: 0.20 eV per atom. The density of states at the Fermi level is 1.9 states/eV/cell. Its total energy is -6.38 eV per atom.